No. 1
Crystalline La4RePb at its relaxed geometry. Source: Alexandria, functional PBE-GGA.

a b c (Å): 6.2856 6.2856 6.2856
angles (deg): 60.00 60.00 60.00
With the nearest neighbours (Å) after each atom.
Atoms (fractional coordinates):
1 La 0.3735 0.3735 0.3735  6 La 3.11-3.18
2 La 0.3735 0.8794 0.3735  6 La 3.11-3.18
3 La 0.3735 0.3735 0.8794  6 La 3.11-3.18
4 La 0.8794 0.3735 0.3735  6 La 3.11-3.18
5 Pb 0.7500 0.7500 0.7500  12 La 3.69, 4 Re 3.85
6 Re 0.0000 0.0000 0.0000  12 La 3.68, 4 Pb 3.85

As for the total magnetic moment: 0.55 μB/f.u. The energy above the most stable polymorph in this dataset is 964 meV/atom. For the calculated formation energy, the calculation gives 0.74 eV per atom.

No. 2
Crystalline PaCuPd at its relaxed geometry. Source: Alexandria, functional PBE-GGA.

a b c (Å): 3.1494 4.5069 4.5069
angles (deg): 120.00 90.00 90.00
With the nearest neighbours (Å) after each atom.
Atoms (fractional coordinates):
1 Pd 0.1670 0.6667 0.3333  3 Cu 2.60
2 Pa 0.6668 0.3333 0.6667  6 Cu 3.04, 6 Pd 3.04, 2 Pa 3.15
3 Cu 0.1663 0.0000 0.0000  3 Pd 2.60

As for the total magnetic moment: 0.08 μB/f.u. The energy above the most stable polymorph in this dataset is 19 meV/atom. For the calculated formation energy, the calculation gives -0.34 eV per atom.

No. 3
Crystalline Tb3Pm5Y4 at its relaxed geometry. Source: Alexandria, functional PBE-GGA.

a b c (Å): 7.2021 11.3895 12.9858
angles (deg): 151.30 56.31 129.27
With the nearest neighbours (Å) after each atom.
Atoms (fractional coordinates):
1 Y 0.9162 0.8311 0.6657  4 Tb 3.58-3.61, 3 Y 3.58-3.60, 5 Pm 3.59-3.62
2 Y 0.8342 0.6683 0.8337  4 Y 3.58-3.60, 3 Tb 3.59-3.60, 5 Pm 3.60-3.61
3 Y 0.1658 0.3317 0.1663  4 Y 3.58-3.60, 3 Tb 3.59-3.60, 5 Pm 3.60-3.61
4 Y 0.0838 0.1689 0.3343  4 Tb 3.58-3.61, 3 Y 3.58-3.60, 5 Pm 3.59-3.62
5 Tb 0.4161 0.8327 0.6666  6 Y 3.58-3.61, 5 Pm 3.59-3.61, 1 Tb 3.60
6 Tb 0.5839 0.1673 0.3334  6 Y 3.58-3.61, 5 Pm 3.59-3.61, 1 Tb 3.60
7 Tb 0.0000 0.0000 0.5000  8 Pm 3.60, 2 Tb 3.60, 2 Y 3.61
8 Pm 0.7492 0.4984 0.9991  6 Pm 3.59-3.61, 3 Tb 3.59-3.60, 3 Y 3.60-3.62
9 Pm 0.3346 0.6672 0.8328  3 Pm 3.59-3.61, 5 Y 3.59-3.61, 4 Tb 3.59-3.60
10 Pm 0.6654 0.3328 0.1672  3 Pm 3.59-3.61, 5 Y 3.59-3.61, 4 Tb 3.59-3.60
11 Pm 0.5000 0.0000 0.5000  4 Pm 3.59-3.61, 4 Tb 3.60-3.61, 4 Y 3.60-3.61
12 Pm 0.2508 0.5016 0.0009  6 Pm 3.59-3.61, 3 Tb 3.59-3.60, 3 Y 3.60-3.62

As for the total magnetic moment: 0.00 μB/f.u. The energy above the most stable polymorph in this dataset is 0 meV/atom. For the calculated formation energy, the calculation gives 0.01 eV per atom.

No. 4
Crystalline Mn2GeBr at its relaxed geometry. Source: Alexandria, functional PBE-GGA.

a b c (Å): 4.2680 4.2680 4.2680
angles (deg): 60.00 60.00 60.00
With the nearest neighbours (Å) after each atom.
Atoms (fractional coordinates):
1 Ge 0.0000 0.0000 0.0000  8 Mn 2.61
2 Mn 0.7500 0.7500 0.7500  4 Ge 2.61, 4 Br 2.61
3 Mn 0.2500 0.2500 0.2500  4 Ge 2.61, 4 Br 2.61
4 Br 0.5000 0.5000 0.5000  8 Mn 2.61

As for the total magnetic moment: 0.00 μB/f.u. The uncorrected formation energy is 0.763 eV/atom.

No. 5
Crystalline CsScSe2 at its relaxed geometry. Source: Alexandria, functional PBE-GGA.

a b c (Å): 19.0444 8.3970 8.3970
angles (deg): 90.00 109.27 70.73
With the nearest neighbours (Å) after each atom.
Atoms (fractional coordinates):
1 Se 0.9250 0.8064 0.0684  2 Sc 2.59
2 Se 0.5707 0.0723 0.3031  2 Sc 2.58-2.59
3 Se 0.4250 0.4316 0.6936  2 Sc 2.59
4 Se 0.2500 0.8111 0.3111  2 Sc 2.57
5 Se 0.0750 0.1936 0.9316  2 Sc 2.59
6 Se 0.4293 0.9277 0.6969  2 Sc 2.58-2.59
7 Se 0.2497 0.8112 0.8127  2 Sc 2.57
8 Se 0.7500 0.6869 0.1869  2 Sc 2.57
9 Se 0.2503 0.3127 0.3112  2 Sc 2.57
10 Se 0.7497 0.6873 0.6888  2 Sc 2.57
11 Se 0.0707 0.1969 0.4277  2 Sc 2.58-2.59
12 Se 0.5750 0.5684 0.3064  2 Sc 2.59
13 Se 0.9293 0.8031 0.5723  2 Sc 2.58-2.59
14 Se 0.2500 0.3131 0.8131  2 Sc 2.57
15 Se 0.7503 0.1888 0.1873  2 Sc 2.57
16 Se 0.7500 0.1889 0.6889  2 Sc 2.57
17 Cs 0.3888 0.4591 0.1655  6 Se 3.72-3.77
18 Cs 0.6080 0.0455 0.8318  6 Se 3.68-3.82
19 Cs 0.3920 0.9545 0.1682  6 Se 3.68-3.82
20 Cs 0.1080 0.6682 0.4545  6 Se 3.68-3.82
21 Cs 0.8888 0.3345 0.0409  6 Se 3.72-3.77
22 Cs 0.8920 0.3318 0.5455  6 Se 3.68-3.82
23 Cs 0.6112 0.5409 0.8345  6 Se 3.72-3.77
24 Cs 0.1112 0.6655 0.9591  6 Se 3.72-3.77
25 Sc 0.3374 0.7501 0.6277  4 Se 2.57-2.59
26 Sc 0.1623 0.1279 0.7434  4 Se 2.57-2.59
27 Sc 0.1626 0.1277 0.2501  4 Se 2.57-2.59
28 Sc 0.6623 0.7566 0.3721  4 Se 2.57-2.59
29 Sc 0.6626 0.2499 0.3723  4 Se 2.57-2.59
30 Sc 0.8374 0.8723 0.7499  4 Se 2.57-2.59
31 Sc 0.8377 0.8721 0.2566  4 Se 2.57-2.59
32 Sc 0.3377 0.2434 0.6279  4 Se 2.57-2.59

As for the total magnetic moment: 0.00 μB/f.u. The uncorrected formation energy is -1.538 eV/atom.

No. 6
Crystalline La5Pm4Tm4 at its relaxed geometry. Source: Alexandria, functional PBE-GGA.

a b c (Å): 5.1288 9.6454 9.6454
angles (deg): 85.95 74.58 74.58
With the nearest neighbours (Å) after each atom.
Atoms (fractional coordinates):
1 Pm 0.9232 0.4615 0.6921  4 Tm 3.61-3.66, 5 Pm 3.64, 3 La 3.64-3.67
2 Pm 0.3847 0.6921 0.5385  4 Tm 3.61-3.66, 5 Pm 3.64, 3 La 3.64-3.67
3 Pm 0.6153 0.3079 0.4615  4 Tm 3.61-3.66, 5 Pm 3.64, 3 La 3.64-3.67
4 Pm 0.0768 0.5385 0.3079  4 Tm 3.61-3.66, 5 Pm 3.64, 3 La 3.64-3.67
5 La 0.4588 0.2331 0.8492  5 Tm 3.58-3.68, 3 Pm 3.64-3.67, 4 La 3.64-3.65
6 La 0.0000 0.0000 0.0000  8 La 3.64, 4 Tm 3.69
7 La 0.5412 0.7669 0.1508  5 Tm 3.58-3.68, 3 Pm 3.64-3.67, 4 La 3.64-3.65
8 La 0.3080 0.1508 0.2331  5 Tm 3.58-3.68, 3 Pm 3.64-3.67, 4 La 3.64-3.65
9 La 0.6920 0.8492 0.7669  5 Tm 3.58-3.68, 3 Pm 3.64-3.67, 4 La 3.64-3.65
10 Tm 0.7662 0.3888 0.0787  6 La 3.58-3.69, 2 Tm 3.60, 4 Pm 3.61-3.66
11 Tm 0.1551 0.0787 0.6112  6 La 3.58-3.69, 2 Tm 3.60, 4 Pm 3.61-3.66
12 Tm 0.8449 0.9213 0.3888  6 La 3.58-3.69, 2 Tm 3.60, 4 Pm 3.61-3.66
13 Tm 0.2338 0.6112 0.9213  6 La 3.58-3.69, 2 Tm 3.60, 4 Pm 3.61-3.66

As for the total magnetic moment: 0.00 μB/f.u. For the calculated formation energy, the calculation gives 0.03 eV per atom.